1.
Below is an optimized crystal structure of Y4Zn3Tc, with properties calculated at the GGA-PBE level.

Lattice parameters (Å, degrees): 3.544 3.544 14.235 90.00 90.00 90.00
Space group P4/mmm (No. 123)
Inequivalent atoms, fractional coordinates:
Y (0.000, 0.000, 0.114) (multiplicity 2)
Y (0.000, 0.000, 0.373) (multiplicity 2)
Zn (0.500, 0.500, 0.245) (multiplicity 2)
Zn (0.500, 0.500, 0.500) (multiplicity 1)
Tc (0.500, 0.500, 0.000) (multiplicity 1)

Summary:
The density of states at the Fermi level is 0.97 states/eV per atom.



2.
Below is an optimized crystal structure of Y2ZnTc, with properties calculated at the GGA-PBE level.

Lattice parameters (Å, degrees): 3.4944 3.4944 26.2238 90.00 90.00 120.00
Space group R-3m (No. 166, hexagonal axes)
Inequivalent atoms, fractional coordinates:
Y (0.0000, 0.0000, 0.2444) (multiplicity 6)
Zn (0.0000, 0.0000, 0.0000) (multiplicity 3)
Tc (0.0000, 0.0000, 0.5000) (multiplicity 3)

Summary:
The density of states at the Fermi level is 0.91 states/eV per atom.



3.
Below is an optimized crystal structure of Y2ZnTc, with properties calculated at the GGA-PBE level.

Lattice parameters (Å, degrees): 3.489 3.489 7.550 90.00 90.00 90.00
Space group P4mm (No. 99)
Inequivalent atoms, fractional coordinates:
Y (0.000, 0.000, 0.000) (multiplicity 1)
Y (0.500, 0.500, 0.393) (multiplicity 1)
Zn (0.000, 0.000, 0.622) (multiplicity 1)
Tc (0.500, 0.500, 0.757) (multiplicity 1)

Summary:
The density of states at the Fermi level is 0.91 states/eV per atom.



| no. | ΔH_f (0 K) (eV/atom) |
| --- | --- |
| 1 | -0.2568 |
| 2 | 0.1000 |
| 3 | -0.0090 |